#P
# Re2BrCl | the Alexandria database | PBEsol | relaxed
# * volume: 19.373 Å³ per atom
# * calculated density: 10.452 g/cm³
data_Re2BrCl
_cell_length_a 3.7139
_cell_length_b 4.3300
_cell_length_c 4.8324
_cell_angle_alpha 90.00
_cell_angle_beta 94.29
_cell_angle_gamma 90.00
_symmetry_space_group_name_H-M 'P 1'
_symmetry_Int_Tables_number 1
loop_
_symmetry_equiv_pos_as_xyz
'x,y,z'
loop_
_atom_site_label
_atom_site_fract_x
_atom_site_fract_y
_atom_site_fract_z
Re1 0.2164 0.0000 0.3424
Re2 0.7836 0.0000 0.6576
Br1 0.0000 0.5000 0.0000
Cl1 0.5000 0.5000 0.5000


#Q
# Re2BrCl | the Alexandria database | PBEsol | relaxed
# * volume: 18.217 Å³ per atom
# * calculated density: 11.115 g/cm³
data_Re2BrCl
_cell_length_a 2.9392
_cell_length_b 2.9392
_cell_length_c 8.4352
_cell_angle_alpha 90.00
_cell_angle_beta 90.00
_cell_angle_gamma 90.00
_symmetry_space_group_name_H-M 'P 1'
_symmetry_Int_Tables_number 1
loop_
_symmetry_equiv_pos_as_xyz
'x,y,z'
loop_
_atom_site_label
_atom_site_fract_x
_atom_site_fract_y
_atom_site_fract_z
Re1 0.0000 0.0000 0.0000
Re2 0.5000 0.5000 0.1920
Br1 0.0000 0.0000 0.4114
Cl1 0.5000 0.5000 0.7970


Which structure wins on stability? #Q wins.


#P
# RhBrCl2 | the Alexandria database | PBEsol | relaxed
# * volume: 18.989 Å³ per atom
# * calculated density: 5.547 g/cm³
data_RhBrCl2
_cell_length_a 3.1204
_cell_length_b 3.1204
_cell_length_c 7.8009
_cell_angle_alpha 90.00
_cell_angle_beta 90.00
_cell_angle_gamma 90.00
_symmetry_space_group_name_H-M 'P 1'
_symmetry_Int_Tables_number 1
loop_
_symmetry_equiv_pos_as_xyz
'x,y,z'
loop_
_atom_site_label
_atom_site_fract_x
_atom_site_fract_y
_atom_site_fract_z
Rh1 0.0000 0.0000 0.0000
Br1 0.5000 0.5000 0.1877
Cl1 0.0000 0.0000 0.4568
Cl2 0.5000 0.5000 0.8063


#Q
# RhBrCl2 | the Alexandria database | PBEsol | relaxed
# * volume: 18.554 Å³ per atom
# * calculated density: 5.677 g/cm³
data_RhBrCl2
_cell_length_a 4.9658
_cell_length_b 4.9658
_cell_length_c 3.0103
_cell_angle_alpha 90.00
_cell_angle_beta 90.00
_cell_angle_gamma 91.15
_symmetry_space_group_name_H-M 'P 1'
_symmetry_Int_Tables_number 1
loop_
_symmetry_equiv_pos_as_xyz
'x,y,z'
loop_
_atom_site_label
_atom_site_fract_x
_atom_site_fract_y
_atom_site_fract_z
Rh1 0.0000 0.0000 0.0000
Br1 0.5000 0.5000 0.0000
Cl1 0.0000 0.5000 0.5000
Cl2 0.5000 0.0000 0.5000


#R
# RhBrCl2 | the Alexandria database | PBEsol | relaxed
# * volume: 21.309 Å³ per atom
# * calculated density: 4.943 g/cm³
data_RhBrCl2
_cell_length_a 3.0170
_cell_length_b 3.0170
_cell_length_c 9.3641
_cell_angle_alpha 90.00
_cell_angle_beta 90.00
_cell_angle_gamma 90.00
_symmetry_space_group_name_H-M 'P 1'
_symmetry_Int_Tables_number 1
loop_
_symmetry_equiv_pos_as_xyz
'x,y,z'
loop_
_atom_site_label
_atom_site_fract_x
_atom_site_fract_y
_atom_site_fract_z
Rh1 0.0000 0.0000 0.0000
Br1 0.0000 0.0000 0.5000
Cl1 0.5000 0.5000 0.1552
Cl2 0.5000 0.5000 0.8448


Which structure wins on stability? #R wins.